Entry a
Compound: TiSICl2
Source: Alexandria
Functional: PBE-GGA
Structure: optimized geometry

Crystal system ... tetragonal
Total magnetic moment ... 0.530 μB per atom

a = 5.463 Å, b = 5.463 Å, c = 5.235 Å
α = 90.00°, β = 90.00°, γ = 90.00°
Space group P4/mmm (No. 123)
Asymmetric unit:
Ti 0.000 0.000 0.000 (multiplicity 1)
S 0.500 0.500 0.000 (multiplicity 1)
I 0.500 0.500 0.500 (multiplicity 1)
Cl 0.000 0.500 0.500 (multiplicity 2)


Entry b
Compound: TiSICl2
Source: Alexandria
Functional: PBE-GGA
Structure: optimized geometry

Crystal system ... tetragonal
Total magnetic moment ... 0.000 μB per atom

a = 4.751 Å, b = 4.751 Å, c = 5.108 Å
α = 90.00°, β = 90.00°, γ = 90.00°
Space group P4/mmm (No. 123)
Asymmetric unit:
Ti 0.000 0.000 0.000 (multiplicity 1)
S 0.000 0.000 0.500 (multiplicity 1)
I 0.500 0.500 0.500 (multiplicity 1)
Cl 0.000 0.500 0.000 (multiplicity 2)


Stability summary: most stable entry b, least stable entry a.


Entry a
Compound: VS2ICl
Source: Alexandria
Functional: PBE-GGA
Structure: optimized geometry

Crystal system ... tetragonal
Total magnetic moment ... 0.008 μB per atom

a = 4.685 Å, b = 4.685 Å, c = 4.736 Å
α = 90.00°, β = 90.00°, γ = 90.00°
Space group P4/mmm (No. 123)
Asymmetric unit:
V 0.000 0.000 0.000 (multiplicity 1)
S 0.000 0.500 0.000 (multiplicity 2)
I 0.500 0.500 0.500 (multiplicity 1)
Cl 0.000 0.000 0.500 (multiplicity 1)


Entry b
Compound: VS2ICl
Source: Alexandria
Functional: PBE-GGA
Structure: optimized geometry

Crystal system ... tetragonal
Total magnetic moment ... 0.665 μB per atom

a = 5.147 Å, b = 5.147 Å, c = 5.301 Å
α = 90.00°, β = 90.00°, γ = 90.00°
Space group P4/mmm (No. 123)
Asymmetric unit:
V 0.000 0.000 0.000 (multiplicity 1)
S 0.000 0.500 0.500 (multiplicity 2)
I 0.500 0.500 0.500 (multiplicity 1)
Cl 0.500 0.500 0.000 (multiplicity 1)


Stability summary: most stable entry a, least stable entry b.


Entry a
Compound: WS2ICl
Source: Alexandria
Functional: PBE-GGA
Structure: optimized geometry

Crystal system ... tetragonal
Total magnetic moment ... 0.866 μB per atom

a = 5.142 Å, b = 5.142 Å, c = 5.231 Å
α = 90.00°, β = 90.00°, γ = 90.00°
Space group P4/mmm (No. 123)
Asymmetric unit:
W 0.000 0.000 0.000 (multiplicity 1)
S 0.000 0.500 0.500 (multiplicity 2)
I 0.500 0.500 0.500 (multiplicity 1)
Cl 0.500 0.500 0.000 (multiplicity 1)


Entry b
Compound: WS2ICl
Source: Alexandria
Functional: PBE-GGA
Structure: optimized geometry

Crystal system ... tetragonal
Total magnetic moment ... 0.000 μB per atom

a = 4.756 Å, b = 4.756 Å, c = 4.834 Å
α = 90.00°, β = 90.00°, γ = 90.00°
Space group P4/mmm (No. 123)
Asymmetric unit:
W 0.000 0.000 0.000 (multiplicity 1)
S 0.000 0.500 0.000 (multiplicity 2)
I 0.500 0.500 0.500 (multiplicity 1)
Cl 0.000 0.000 0.500 (multiplicity 1)


Stability summary: most stable entry b, least stable entry a.


Entry a
Compound: WSICl2
Source: Alexandria
Functional: PBE-GGA
Structure: optimized geometry

Crystal system ... tetragonal
Total magnetic moment ... 0.000 μB per atom

a = 4.850 Å, b = 4.850 Å, c = 4.755 Å
α = 90.00°, β = 90.00°, γ = 90.00°
Space group P4/mmm (No. 123)
Asymmetric unit:
W 0.000 0.000 0.000 (multiplicity 1)
S 0.000 0.000 0.500 (multiplicity 1)
I 0.500 0.500 0.500 (multiplicity 1)
Cl 0.000 0.500 0.000 (multiplicity 2)


Entry b
Compound: WSICl2
Source: Alexandria
Functional: PBE-GGA
Structure: optimized geometry

Crystal system ... tetragonal
Total magnetic moment ... 0.932 μB per atom

a = 5.391 Å, b = 5.391 Å, c = 5.239 Å
α = 90.00°, β = 90.00°, γ = 90.00°
Space group P4/mmm (No. 123)
Asymmetric unit:
W 0.000 0.000 0.000 (multiplicity 1)
S 0.500 0.500 0.000 (multiplicity 1)
I 0.500 0.500 0.500 (multiplicity 1)
Cl 0.000 0.500 0.500 (multiplicity 2)


Stability summary: most stable entry a, least stable entry b.


Entry a
Compound: ZrS2ICl
Source: Alexandria
Functional: PBE-GGA
Structure: optimized geometry

Crystal system ... tetragonal
Total magnetic moment ... 0.139 μB per atom

a = 5.078 Å, b = 5.078 Å, c = 5.053 Å
α = 90.00°, β = 90.00°, γ = 90.00°
Space group P4/mmm (No. 123)
Asymmetric unit:
Zr 0.000 0.000 0.000 (multiplicity 1)
S 0.000 0.500 0.000 (multiplicity 2)
I 0.500 0.500 0.500 (multiplicity 1)
Cl 0.000 0.000 0.500 (multiplicity 1)


Entry b
Compound: ZrS2ICl
Source: Alexandria
Functional: PBE-GGA
Structure: optimized geometry

Crystal system ... tetragonal
Total magnetic moment ... 0.428 μB per atom

a = 5.204 Å, b = 5.204 Å, c = 5.195 Å
α = 90.00°, β = 90.00°, γ = 90.00°
Space group P4/mmm (No. 123)
Asymmetric unit:
Zr 0.000 0.000 0.000 (multiplicity 1)
S 0.000 0.500 0.500 (multiplicity 2)
I 0.500 0.500 0.500 (multiplicity 1)
Cl 0.500 0.500 0.000 (multiplicity 1)


Stability summary: most stable entry a, least stable entry b.


Entry a
Compound: SbICl2
Source: Alexandria
Functional: PBE-GGA
Structure: optimized geometry

Crystal system ... monoclinic
Total magnetic moment ... 0.000 μB per atom

a = 7.498 Å, b = 6.673 Å, c = 14.949 Å
α = 90.00°, β = 115.58°, γ = 90.00°
Space group P2_1/c (No. 14)
Asymmetric unit:
Sb 0.179 0.030 0.414 (multiplicity 4)
I 0.231 0.233 0.773 (multiplicity 4)
Cl 0.094 0.722 0.084 (multiplicity 4)
Cl 0.424 0.211 0.556 (multiplicity 4)


Entry b
Compound: SbICl2
Source: Alexandria
Functional: PBE-GGA
Structure: optimized geometry

Crystal system ... monoclinic
Total magnetic moment ... 0.000 μB per atom

a = 5.723 Å, b = 9.038 Å, c = 7.419 Å
α = 90.00°, β = 105.00°, γ = 90.00°
Space group P2_1/m (No. 11)
Asymmetric unit:
Sb 0.014 0.250 0.495 (multiplicity 2)
I 0.186 0.250 0.182 (multiplicity 2)
Cl 0.279 0.059 0.667 (multiplicity 4)


Stability summary: most stable entry a, least stable entry b.


Entry a
Compound: SbICl2
Source: Alexandria
Functional: PBE-GGA
Structure: optimized geometry

Crystal system ... trigonal
Total magnetic moment ... 0.000 μB per atom

a = 3.4871 Å, b = 3.4871 Å, c = 38.9247 Å
α = 90.00°, β = 90.00°, γ = 120.00°
Space group R-3m (No. 166, hexagonal axes)
Asymmetric unit:
Sb 0.0000 0.0000 0.0000 (multiplicity 3)
I 0.0000 0.0000 0.5000 (multiplicity 3)
Cl 0.0000 0.0000 0.3865 (multiplicity 6)


Entry b
Compound: SbICl2
Source: Alexandria
Functional: PBE-GGA
Structure: optimized geometry

Crystal system ... tetragonal
Total magnetic moment ... 0.000 μB per atom

a = 5.360 Å, b = 5.360 Å, c = 18.143 Å
α = 90.00°, β = 90.00°, γ = 90.00°
Space group I-42d (No. 122)
Asymmetric unit:
Sb 0.000 0.000 0.000 (multiplicity 4)
I 0.000 0.000 0.500 (multiplicity 4)
Cl 0.139 0.250 0.125 (multiplicity 8)


Stability summary: most stable entry a, least stable entry b.


Entry a
Compound: SbI3Cl
Source: Alexandria
Functional: PBE-GGA
Structure: optimized geometry

Crystal system ... cubic
Total magnetic moment ... 0.167 μB per atom

a = 5.713 Å, b = 5.713 Å, c = 5.713 Å
α = 90.00°, β = 90.00°, γ = 90.00°
Space group Pm-3m (No. 221)
Asymmetric unit:
Sb 0.000 0.000 0.000 (multiplicity 1)
I 0.000 0.500 0.500 (multiplicity 3)
Cl 0.500 0.500 0.500 (multiplicity 1)


Entry b
Compound: SbI3Cl
Source: Alexandria
Functional: PBE-GGA
Structure: optimized geometry

Crystal system ... triclinic
Total magnetic moment ... 0.000 μB per atom

a = 7.628 Å, b = 8.795 Å, c = 8.855 Å
α = 88.05°, β = 73.54°, γ = 68.49°
Space group P1 (No. 1)
Asymmetric unit:
Sb 0.000 0.000 0.000 (multiplicity 1)
Sb 0.253 0.505 0.124 (multiplicity 1)
I 0.097 0.149 0.687 (multiplicity 1)
I 0.509 0.991 0.514 (multiplicity 1)
I 0.561 0.259 0.897 (multiplicity 1)
I 0.936 0.865 0.342 (multiplicity 1)
I 0.961 0.734 0.868 (multiplicity 1)
I 0.997 0.337 0.227 (multiplicity 1)
Cl 0.344 0.860 0.978 (multiplicity 1)
Cl 0.404 0.446 0.333 (multiplicity 1)


Stability summary: most stable entry b, least stable entry a.


Entry a
Compound: ScSbI2Cl
Source: Alexandria
Functional: PBE-GGA
Structure: optimized geometry

Crystal system ... tetragonal
Total magnetic moment ... 0.066 μB per atom

a = 5.862 Å, b = 5.862 Å, c = 5.174 Å
α = 90.00°, β = 90.00°, γ = 90.00°
Space group P4/mmm (No. 123)
Asymmetric unit:
Sc 0.000 0.000 0.000 (multiplicity 1)
Sb 0.500 0.500 0.000 (multiplicity 1)
I 0.000 0.500 0.500 (multiplicity 2)
Cl 0.500 0.500 0.500 (multiplicity 1)


Entry b
Compound: ScSbI2Cl
Source: Alexandria
Functional: PBE-GGA
Structure: optimized geometry

Crystal system ... tetragonal
Total magnetic moment ... 0.003 μB per atom

a = 5.525 Å, b = 5.525 Å, c = 5.864 Å
α = 90.00°, β = 90.00°, γ = 90.00°
Space group P4/mmm (No. 123)
Asymmetric unit:
Sc 0.000 0.000 0.000 (multiplicity 1)
Sb 0.000 0.000 0.500 (multiplicity 1)
I 0.000 0.500 0.000 (multiplicity 2)
Cl 0.500 0.500 0.500 (multiplicity 1)


Stability summary: most stable entry b, least stable entry a.


Entry a
Compound: SbSeI2Cl
Source: Alexandria
Functional: PBE-GGA
Structure: optimized geometry

Crystal system ... tetragonal
Total magnetic moment ... 0.000 μB per atom

a = 5.509 Å, b = 5.509 Å, c = 5.681 Å
α = 90.00°, β = 90.00°, γ = 90.00°
Space group P4/mmm (No. 123)
Asymmetric unit:
Sb 0.000 0.000 0.000 (multiplicity 1)
Se 0.500 0.500 0.000 (multiplicity 1)
I 0.000 0.500 0.500 (multiplicity 2)
Cl 0.000 0.000 0.500 (multiplicity 1)


Entry b
Compound: SbSeI2Cl
Source: Alexandria
Functional: PBE-GGA
Structure: optimized geometry

Crystal system ... tetragonal
Total magnetic moment ... 0.259 μB per atom

a = 5.561 Å, b = 5.561 Å, c = 5.861 Å
α = 90.00°, β = 90.00°, γ = 90.00°
Space group P4/mmm (No. 123)
Asymmetric unit:
Sb 0.000 0.000 0.000 (multiplicity 1)
Se 0.000 0.000 0.500 (multiplicity 1)
I 0.000 0.500 0.500 (multiplicity 2)
Cl 0.500 0.500 0.000 (multiplicity 1)


Stability summary: most stable entry b, least stable entry a.


Entry a
Compound: SrSb2ICl
Source: Alexandria
Functional: PBE-GGA
Structure: optimized geometry

Crystal system ... tetragonal
Total magnetic moment ... 0.000 μB per atom

a = 5.185 Å, b = 5.185 Å, c = 6.859 Å
α = 90.00°, β = 90.00°, γ = 90.00°
Space group P4/mmm (No. 123)
Asymmetric unit:
Sr 0.000 0.000 0.000 (multiplicity 1)
Sb 0.000 0.500 0.500 (multiplicity 2)
I 0.500 0.500 0.000 (multiplicity 1)
Cl 0.500 0.500 0.500 (multiplicity 1)


Entry b
Compound: SrSb2ICl
Source: Alexandria
Functional: PBE-GGA
Structure: optimized geometry

Crystal system ... tetragonal
Total magnetic moment ... 0.248 μB per atom

a = 6.355 Å, b = 6.355 Å, c = 6.096 Å
α = 90.00°, β = 90.00°, γ = 90.00°
Space group P4/mmm (No. 123)
Asymmetric unit:
Sr 0.000 0.000 0.000 (multiplicity 1)
Sb 0.000 0.500 0.000 (multiplicity 2)
I 0.000 0.000 0.500 (multiplicity 1)
Cl 0.500 0.500 0.500 (multiplicity 1)


Stability summary: most stable entry a, least stable entry b.


Entry a
Compound: TcSb2ICl
Source: Alexandria
Functional: PBE-GGA
Structure: optimized geometry

Crystal system ... tetragonal
Total magnetic moment ... 0.779 μB per atom

a = 5.130 Å, b = 5.130 Å, c = 6.447 Å
α = 90.00°, β = 90.00°, γ = 90.00°
Space group P4/mmm (No. 123)
Asymmetric unit:
Tc 0.000 0.000 0.000 (multiplicity 1)
Sb 0.000 0.500 0.500 (multiplicity 2)
I 0.500 0.500 0.000 (multiplicity 1)
Cl 0.500 0.500 0.500 (multiplicity 1)


Entry b
Compound: TcSb2ICl
Source: Alexandria
Functional: PBE-GGA
Structure: optimized geometry

Crystal system ... tetragonal
Total magnetic moment ... 0.000 μB per atom

a = 5.134 Å, b = 5.134 Å, c = 5.568 Å
α = 90.00°, β = 90.00°, γ = 90.00°
Space group P4/mmm (No. 123)
Asymmetric unit:
Tc 0.000 0.000 0.000 (multiplicity 1)
Sb 0.000 0.500 0.000 (multiplicity 2)
I 0.000 0.000 0.500 (multiplicity 1)
Cl 0.500 0.500 0.500 (multiplicity 1)


Stability summary: most stable entry b, least stable entry a.


Entry a
Compound: TcSbI2Cl
Source: Alexandria
Functional: PBE-GGA
Structure: optimized geometry

Crystal system ... tetragonal
Total magnetic moment ... 0.249 μB per atom

a = 5.418 Å, b = 5.418 Å, c = 5.216 Å
α = 90.00°, β = 90.00°, γ = 90.00°
Space group P4/mmm (No. 123)
Asymmetric unit:
Tc 0.000 0.000 0.000 (multiplicity 1)
Sb 0.000 0.000 0.500 (multiplicity 1)
I 0.000 0.500 0.000 (multiplicity 2)
Cl 0.500 0.500 0.500 (multiplicity 1)


Entry b
Compound: TcSbI2Cl
Source: Alexandria
Functional: PBE-GGA
Structure: optimized geometry

Crystal system ... tetragonal
Total magnetic moment ... 0.950 μB per atom

a = 5.518 Å, b = 5.518 Å, c = 5.650 Å
α = 90.00°, β = 90.00°, γ = 90.00°
Space group P4/mmm (No. 123)
Asymmetric unit:
Tc 0.000 0.000 0.000 (multiplicity 1)
Sb 0.500 0.500 0.000 (multiplicity 1)
I 0.000 0.500 0.500 (multiplicity 2)
Cl 0.500 0.500 0.500 (multiplicity 1)


Stability summary: most stable entry a, least stable entry b.


Entry a
Compound: TiSbI2Cl
Source: Alexandria
Functional: PBE-GGA
Structure: optimized geometry

Crystal system ... tetragonal
Total magnetic moment ... 0.072 μB per atom

a = 5.830 Å, b = 5.830 Å, c = 5.184 Å
α = 90.00°, β = 90.00°, γ = 90.00°
Space group P4/mmm (No. 123)
Asymmetric unit:
Ti 0.000 0.000 0.000 (multiplicity 1)
Sb 0.500 0.500 0.000 (multiplicity 1)
I 0.000 0.500 0.500 (multiplicity 2)
Cl 0.500 0.500 0.500 (multiplicity 1)


Entry b
Compound: TiSbI2Cl
Source: Alexandria
Functional: PBE-GGA
Structure: optimized geometry

Crystal system ... tetragonal
Total magnetic moment ... 0.000 μB per atom

a = 5.338 Å, b = 5.338 Å, c = 5.508 Å
α = 90.00°, β = 90.00°, γ = 90.00°
Space group P4/mmm (No. 123)
Asymmetric unit:
Ti 0.000 0.000 0.000 (multiplicity 1)
Sb 0.000 0.000 0.500 (multiplicity 1)
I 0.000 0.500 0.000 (multiplicity 2)
Cl 0.500 0.500 0.500 (multiplicity 1)


Stability summary: most stable entry b, least stable entry a.